No. 1
K2RbBr | PBE | optimized geometry

Unit cell a=4.719 b=4.719 c=13.051 alpha=79.58 beta=79.58 gamma=60.00
Fractional coordinates of all 4 atoms:
1 Br 0.500 0.500 0.500
2 K 0.115 0.115 0.655
3 Rb 0.000 0.000 0.000
4 K 0.885 0.885 0.345

Computed properties:
energy above the most stable polymorph in this dataset = 2.3 kJ/mol of atoms
space group = R-3m, No. 166
formation energy without anion corrections = -3.18 eV per formula unit

No. 2
Ba2As2I | PBE | optimized geometry

Unit cell a=9.282 b=9.282 c=4.372 alpha=90.00 beta=90.00 gamma=90.00
Fractional coordinates of all 10 atoms:
1 As 0.092 0.592 0.500
2 I 0.500 0.500 0.000
3 Ba 0.177 0.323 0.000
4 As 0.908 0.408 0.500
5 Ba 0.823 0.677 0.000
6 Ba 0.677 0.177 0.000
7 Ba 0.323 0.823 0.000
8 I 0.000 0.000 0.000
9 As 0.408 0.092 0.500
10 As 0.592 0.908 0.500

Computed properties:
energy above the most stable polymorph in this dataset = 8.1 kJ/mol of atoms
space group = P4/mbm, No. 127
formation energy without anion corrections = -5.55 eV per formula unit

No. 3
AcTb3Pm5 | PBE | optimized geometry

Unit cell a=10.036 b=6.809 c=13.578 alpha=94.81 beta=90.00 gamma=137.48
Fractional coordinates of all 18 atoms:
1 Pm 0.479 0.655 0.921
2 Pm 0.482 0.323 0.582
3 Pm 0.824 0.345 0.579
4 Pm 0.159 0.677 0.918
5 Tb 0.663 0.329 0.333
6 Tb 0.337 0.671 0.667
7 Pm 0.521 0.345 0.079
8 Pm 0.841 0.323 0.082
9 Pm 0.176 0.655 0.421
10 Ac 0.156 0.000 0.250
11 Pm 0.518 0.677 0.418
12 Tb 0.000 0.000 0.500
13 Ac 0.844 0.000 0.750
14 Tb 0.666 0.329 0.833
15 Tb 0.000 0.000 0.000
16 Tb 0.334 0.671 0.167
17 Pm 0.817 0.000 0.250
18 Pm 0.183 0.000 0.750

Computed properties:
energy above the most stable polymorph in this dataset = 0.0 kJ/mol of atoms
space group = C2/c, No. 15
calculated formation energy = 0.0749 eV/atom

Copy entry 3 word for word.
AcTb3Pm5 | PBE | optimized geometry

Unit cell a=10.036 b=6.809 c=13.578 alpha=94.81 beta=90.00 gamma=137.48
Fractional coordinates of all 18 atoms:
1 Pm 0.479 0.655 0.921
2 Pm 0.482 0.323 0.582
3 Pm 0.824 0.345 0.579
4 Pm 0.159 0.677 0.918
5 Tb 0.663 0.329 0.333
6 Tb 0.337 0.671 0.667
7 Pm 0.521 0.345 0.079
8 Pm 0.841 0.323 0.082
9 Pm 0.176 0.655 0.421
10 Ac 0.156 0.000 0.250
11 Pm 0.518 0.677 0.418
12 Tb 0.000 0.000 0.500
13 Ac 0.844 0.000 0.750
14 Tb 0.666 0.329 0.833
15 Tb 0.000 0.000 0.000
16 Tb 0.334 0.671 0.167
17 Pm 0.817 0.000 0.250
18 Pm 0.183 0.000 0.750

Computed properties:
energy above the most stable polymorph in this dataset = 0.0 kJ/mol of atoms
space group = C2/c, No. 15
calculated formation energy = 0.0749 eV/atom

> The highest energy above the most stable polymorph in this dataset belongs to which entry?

Ba2As2I

> Which value of energy above the most stable polymorph in this dataset does entry 2 give?

8.1 kJ/mol of atoms

Please write out number 2 again, unchanged.
Ba2As2I | PBE | optimized geometry

Unit cell a=9.282 b=9.282 c=4.372 alpha=90.00 beta=90.00 gamma=90.00
Fractional coordinates of all 10 atoms:
1 As 0.092 0.592 0.500
2 I 0.500 0.500 0.000
3 Ba 0.177 0.323 0.000
4 As 0.908 0.408 0.500
5 Ba 0.823 0.677 0.000
6 Ba 0.677 0.177 0.000
7 Ba 0.323 0.823 0.000
8 I 0.000 0.000 0.000
9 As 0.408 0.092 0.500
10 As 0.592 0.908 0.500

Computed properties:
energy above the most stable polymorph in this dataset = 8.1 kJ/mol of atoms
space group = P4/mbm, No. 127
formation energy without anion corrections = -5.55 eV per formula unit